No. 1
# DyEr6Zn2

A relaxed DyEr6Zn2 crystal (PBE-GGA, Alexandria via LeMat-Bulk).

abc: 6.422 6.422 11.654
angles: 108.60 108.60 32.41
Positions (direct):
Dy1 0.000 0.000 0.000
Er1 0.023 0.023 0.329
Er2 0.310 0.310 0.125
Er3 0.315 0.315 0.413
Er4 0.685 0.685 0.587
Er5 0.690 0.690 0.875
Er6 0.977 0.977 0.671
Zn1 0.350 0.350 0.794
Zn2 0.650 0.650 0.206

SG: No. 12
DFT total energy (eV/atom): -3.9807


No. 2
# DyEr4Zn2

A relaxed DyEr4Zn2 crystal (PBE-GGA, Alexandria via LeMat-Bulk).

abc: 10.178 10.178 10.178
angles: 27.86 27.86 27.86
Positions (direct):
Dy1 0.000 0.000 0.000
Er1 0.202 0.202 0.202
Er2 0.399 0.399 0.399
Er3 0.601 0.601 0.601
Er4 0.798 0.798 0.798
Zn1 0.100 0.100 0.100
Zn2 0.900 0.900 0.900

SG: No. 166
DFT total energy (eV/atom): -3.4944


No. 3
# Dy2ErZn

A relaxed Dy2ErZn crystal (PBE-GGA, Alexandria via LeMat-Bulk).

abc: 3.587 3.587 30.503
angles: 90.00 90.00 120.00
Positions (direct):
Dy1 0.000 0.000 0.000
Dy2 0.000 0.000 0.188
Dy3 0.333 0.667 0.667
Dy4 0.333 0.667 0.854
Dy5 0.667 0.333 0.333
Dy6 0.667 0.333 0.521
Er1 0.000 0.000 0.427
Er2 0.333 0.667 0.094
Er3 0.667 0.333 0.761
Zn1 0.000 0.000 0.593
Zn2 0.333 0.667 0.260
Zn3 0.667 0.333 0.927

SG: No. 160
DFT total energy (eV/atom): -3.8158


No. 4
# Dy3Er2Zn2

A relaxed Dy3Er2Zn2 crystal (PBE-GGA, Alexandria via LeMat-Bulk).

abc: 3.531 30.290 3.505
angles: 90.00 90.00 90.00
Positions (direct):
Dy1 0.000 0.000 0.000
Dy2 0.000 0.119 0.000
Dy3 0.000 0.881 0.000
Dy4 0.500 0.381 0.000
Dy5 0.500 0.500 0.000
Dy6 0.500 0.619 0.000
Er1 0.000 0.299 0.500
Er2 0.000 0.701 0.500
Er3 0.500 0.201 0.500
Er4 0.500 0.799 0.500
Zn1 0.000 0.441 0.500
Zn2 0.000 0.559 0.500
Zn3 0.500 0.059 0.500
Zn4 0.500 0.941 0.500

SG: No. 65
DFT total energy (eV/atom): -3.7529


No. 5
# DyEr3Zn8

A relaxed DyEr3Zn8 crystal (PBE-GGA, Alexandria via LeMat-Bulk).

abc: 9.387 9.387 9.387
angles: 33.73 33.73 33.73
Positions (direct):
Dy1 0.000 0.000 0.000
Er1 0.375 0.375 0.375
Er2 0.500 0.500 0.500
Er3 0.875 0.875 0.875
Zn1 0.188 0.188 0.188
Zn2 0.438 0.438 0.937
Zn3 0.438 0.937 0.438
Zn4 0.438 0.938 0.938
Zn5 0.688 0.688 0.688
Zn6 0.937 0.438 0.438
Zn7 0.938 0.438 0.938
Zn8 0.938 0.938 0.438

SG: No. 160
DFT total energy (eV/atom): -2.7056


No. 6
# DyEr2Zn2

A relaxed DyEr2Zn2 crystal (PBE-GGA, Alexandria via LeMat-Bulk).

abc: 3.577 5.121 13.225
angles: 90.00 97.78 90.00
Positions (direct):
Dy1 0.145 0.250 0.288
Dy2 0.855 0.750 0.712
Er1 0.046 0.750 0.092
Er2 0.232 0.750 0.465
Er3 0.768 0.250 0.535
Er4 0.954 0.250 0.908
Zn1 0.360 0.250 0.720
Zn2 0.452 0.750 0.903
Zn3 0.548 0.250 0.097
Zn4 0.640 0.750 0.280

SG: No. 11
DFT total energy (eV/atom): -3.5288


No. 7
# Dy6Er2Zn

A relaxed Dy6Er2Zn crystal (PBE-GGA, Alexandria via LeMat-Bulk).

abc: 9.993 10.006 5.308
angles: 90.00 90.00 90.00
Positions (direct):
Dy1 0.041 0.185 0.000
Dy2 0.123 0.622 0.500
Dy3 0.185 0.957 0.500
Dy4 0.315 0.457 0.000
Dy5 0.377 0.122 0.000
Dy6 0.459 0.685 0.500
Dy7 0.541 0.315 0.500
Dy8 0.623 0.878 0.000
Dy9 0.685 0.543 0.000
Dy10 0.815 0.043 0.500
Dy11 0.877 0.378 0.500
Dy12 0.959 0.815 0.000
Er1 0.215 0.283 0.500
Er2 0.285 0.783 0.000
Er3 0.715 0.217 0.000
Er4 0.785 0.717 0.500
Zn1 0.000 0.500 0.000
Zn2 0.500 0.000 0.500

SG: No. 58
DFT total energy (eV/atom): -4.2038


No. 8
# Dy2Er3Zn3

A relaxed Dy2Er3Zn3 crystal (PBE-GGA, Alexandria via LeMat-Bulk).

abc: 3.581 5.121 21.312
angles: 90.00 90.00 90.00
Positions (direct):
Dy1 0.000 0.000 0.228
Dy2 0.000 0.000 0.772
Dy3 0.500 0.500 0.272
Dy4 0.500 0.500 0.728
Er1 0.000 0.000 0.000
Er2 0.000 0.500 0.118
Er3 0.000 0.500 0.882
Er4 0.500 0.000 0.382
Er5 0.500 0.000 0.618
Er6 0.500 0.500 0.500
Zn1 0.000 0.000 0.500
Zn2 0.000 0.500 0.386
Zn3 0.000 0.500 0.614
Zn4 0.500 0.000 0.114
Zn5 0.500 0.000 0.886
Zn6 0.500 0.500 0.000

SG: No. 71
DFT total energy (eV/atom): -3.5889


No. 9
# DyErZn10

A relaxed DyErZn10 crystal (PBE-GGA, Alexandria via LeMat-Bulk).

abc: 4.209 5.305 9.140
angles: 90.00 90.00 90.00
Positions (direct):
Dy1 0.000 0.000 0.000
Er1 0.000 0.500 0.500
Zn1 0.000 0.000 0.335
Zn2 0.000 0.000 0.665
Zn3 0.000 0.500 0.167
Zn4 0.000 0.500 0.833
Zn5 0.500 0.000 0.500
Zn6 0.500 0.250 0.251
Zn7 0.500 0.250 0.749
Zn8 0.500 0.500 0.000
Zn9 0.500 0.750 0.251
Zn10 0.500 0.750 0.749

SG: No. 47
DFT total energy (eV/atom): -2.0953


No. 10
# DyErZn4

A relaxed DyErZn4 crystal (PBE-GGA, Alexandria via LeMat-Bulk).

abc: 4.484 6.921 7.727
angles: 90.00 90.00 90.00
Positions (direct):
Dy1 0.000 0.000 0.000
Dy2 0.500 0.500 0.500
Er1 0.000 0.500 0.000
Er2 0.500 0.000 0.500
Zn1 0.000 0.250 0.333
Zn2 0.000 0.250 0.667
Zn3 0.000 0.750 0.333
Zn4 0.000 0.750 0.667
Zn5 0.500 0.250 0.167
Zn6 0.500 0.250 0.833
Zn7 0.500 0.750 0.167
Zn8 0.500 0.750 0.833

SG: No. 71
DFT total energy (eV/atom): -2.7542


No. 11
# DyErZn6

A relaxed DyErZn6 crystal (PBE-GGA, Alexandria via LeMat-Bulk).

abc: 4.398 6.552 10.308
angles: 90.00 90.00 90.00
Positions (direct):
Dy1 0.000 0.000 0.000
Dy2 0.000 0.500 0.500
Er1 0.500 0.000 0.710
Er2 0.500 0.500 0.210
Zn1 0.000 0.000 0.517
Zn2 0.000 0.206 0.269
Zn3 0.000 0.294 0.769
Zn4 0.000 0.500 0.017
Zn5 0.000 0.706 0.769
Zn6 0.000 0.794 0.269
Zn7 0.500 0.000 0.194
Zn8 0.500 0.205 0.441
Zn9 0.500 0.295 0.941
Zn10 0.500 0.500 0.694
Zn11 0.500 0.705 0.941
Zn12 0.500 0.795 0.441

SG: No. 38
DFT total energy (eV/atom): -2.4135


No. 12
# Dy3ErZn4

A relaxed Dy3ErZn4 crystal (PBE-GGA, Alexandria via LeMat-Bulk).

abc: 8.711 8.711 8.711
angles: 33.64 33.64 33.64
Positions (direct):
Dy1 0.000 0.000 0.000
Dy2 0.250 0.250 0.250
Dy3 0.750 0.750 0.750
Er1 0.500 0.500 0.500
Zn1 0.125 0.125 0.125
Zn2 0.375 0.375 0.375
Zn3 0.625 0.625 0.625
Zn4 0.875 0.875 0.875

SG: No. 166
DFT total energy (eV/atom): -3.2781


No. 13
# DyErZn2

A relaxed DyErZn2 crystal (PBE-GGA, Alexandria via LeMat-Bulk).

abc: 5.010 5.010 3.574
angles: 90.00 90.00 90.00
Positions (direct):
Dy1 0.000 0.000 0.000
Er1 0.500 0.500 0.000
Zn1 0.000 0.500 0.500
Zn2 0.500 0.000 0.500

SG: No. 123
DFT total energy (eV/atom): -3.2732


No. 14
# Dy2ErZn

A relaxed Dy2ErZn crystal (PBE-GGA, Alexandria via LeMat-Bulk).

abc: 5.293 5.293 3.807
angles: 90.00 90.00 90.00
Positions (direct):
Dy1 0.000 0.500 0.000
Dy2 0.500 0.000 0.000
Er1 0.000 0.000 0.500
Zn1 0.500 0.500 0.500

SG: No. 123
DFT total energy (eV/atom): -3.7605


No. 15
# Dy2ErZn3

A relaxed Dy2ErZn3 crystal (PBE-GGA, Alexandria via LeMat-Bulk).

abc: 3.561 3.561 10.662
angles: 90.00 90.00 90.00
Positions (direct):
Dy1 0.000 0.000 0.167
Dy2 0.000 0.000 0.833
Er1 0.000 0.000 0.500
Zn1 0.500 0.500 0.000
Zn2 0.500 0.500 0.336
Zn3 0.500 0.500 0.664

SG: No. 123
DFT total energy (eV/atom): -3.2736


No. 16
# DyEr4Zn

A relaxed DyEr4Zn crystal (PBE-GGA, Alexandria via LeMat-Bulk).

abc: 8.005 8.005 6.152
angles: 100.03 100.03 114.05
Positions (direct):
Dy1 0.095 0.905 0.750
Dy2 0.905 0.095 0.250
Er1 0.110 0.338 0.875
Er2 0.214 0.580 0.452
Er3 0.338 0.110 0.375
Er4 0.420 0.786 0.048
Er5 0.580 0.214 0.952
Er6 0.662 0.890 0.625
Er7 0.786 0.420 0.548
Er8 0.890 0.662 0.125
Zn1 0.500 0.500 0.250
Zn2 0.500 0.500 0.750

SG: No. 15
DFT total energy (eV/atom): -4.0177


No. 17
# Dy4Er5Zn

A relaxed Dy4Er5Zn crystal (PBE-GGA, Alexandria via LeMat-Bulk).

abc: 3.520 3.520 23.621
angles: 90.00 90.00 90.00
Positions (direct):
Dy1 0.000 0.000 0.106
Dy2 0.000 0.000 0.317
Dy3 0.000 0.000 0.683
Dy4 0.000 0.000 0.894
Er1 0.500 0.500 0.000
Er2 0.500 0.500 0.212
Er3 0.500 0.500 0.425
Er4 0.500 0.500 0.575
Er5 0.500 0.500 0.788
Zn1 0.000 0.000 0.500

SG: No. 123
DFT total energy (eV/atom): -4.3026


No. 18
# DyEr4Zn5

A relaxed DyEr4Zn5 crystal (PBE-GGA, Alexandria via LeMat-Bulk).

abc: 3.543 3.543 17.725
angles: 90.00 90.00 90.00
Positions (direct):
Dy1 0.000 0.000 0.000
Er1 0.000 0.000 0.201
Er2 0.000 0.000 0.400
Er3 0.000 0.000 0.600
Er4 0.000 0.000 0.799
Zn1 0.500 0.500 0.102
Zn2 0.500 0.500 0.301
Zn3 0.500 0.500 0.500
Zn4 0.500 0.500 0.699
Zn5 0.500 0.500 0.898

SG: No. 123
DFT total energy (eV/atom): -3.2682


No. 19
# Dy2ErZn

A relaxed Dy2ErZn crystal (PBE-GGA, Alexandria via LeMat-Bulk).

abc: 3.554 3.554 8.545
angles: 90.00 90.00 90.00
Positions (direct):
Dy1 0.000 0.000 0.209
Dy2 0.000 0.000 0.791
Er1 0.500 0.500 0.500
Zn1 0.500 0.500 0.000

SG: No. 123
DFT total energy (eV/atom): -3.9190


No. 20
# DyEr2Zn5

A relaxed DyEr2Zn5 crystal (PBE-GGA, Alexandria via LeMat-Bulk).

abc: 4.796 4.796 13.995
angles: 90.00 90.00 90.00
Positions (direct):
Dy1 0.000 0.000 0.000
Dy2 0.500 0.500 0.500
Er1 0.000 0.000 0.266
Er2 0.000 0.000 0.734
Er3 0.500 0.500 0.234
Er4 0.500 0.500 0.766
Zn1 0.000 0.000 0.500
Zn2 0.000 0.500 0.116
Zn3 0.000 0.500 0.384
Zn4 0.000 0.500 0.616
Zn5 0.000 0.500 0.884
Zn6 0.500 0.000 0.116
Zn7 0.500 0.000 0.384
Zn8 0.500 0.000 0.616
Zn9 0.500 0.000 0.884
Zn10 0.500 0.500 0.000

SG: No. 139
DFT total energy (eV/atom): -2.8282


No. 21
# Dy5ErZn6

A relaxed Dy5ErZn6 crystal (PBE-GGA, Alexandria via LeMat-Bulk).

abc: 7.954 7.954 7.154
angles: 90.00 90.00 143.14
Positions (direct):
Dy1 0.000 0.000 0.000
Dy2 0.333 0.667 0.000
Dy3 0.334 0.666 0.500
Dy4 0.666 0.334 0.500
Dy5 0.667 0.333 0.000
Er1 0.000 0.000 0.500
Zn1 0.166 0.834 0.252
Zn2 0.166 0.834 0.748
Zn3 0.500 0.500 0.252
Zn4 0.500 0.500 0.748
Zn5 0.834 0.166 0.252
Zn6 0.834 0.166 0.748

SG: No. 65
DFT total energy (eV/atom): -3.2763


No. 22
# DyEr2Zn2

A relaxed DyEr2Zn2 crystal (PBE-GGA, Alexandria via LeMat-Bulk).

abc: 8.005 8.005 6.106
angles: 90.00 90.00 141.69
Positions (direct):
Dy1 0.083 0.917 0.500
Dy2 0.917 0.083 0.000
Er1 0.300 0.700 0.249
Er2 0.457 0.543 0.656
Er3 0.543 0.457 0.156
Er4 0.700 0.300 0.749
Zn1 0.122 0.878 0.990
Zn2 0.275 0.725 0.756
Zn3 0.725 0.275 0.256
Zn4 0.878 0.122 0.490

SG: No. 36
DFT total energy (eV/atom): -3.4556


No. 23
# DyErZn3

A relaxed DyErZn3 crystal (PBE-GGA, Alexandria via LeMat-Bulk).

abc: 13.452 13.452 4.459
angles: 90.00 90.00 164.70
Positions (direct):
Dy1 0.073 0.927 0.750
Dy2 0.927 0.073 0.250
Er1 0.210 0.790 0.250
Er2 0.790 0.210 0.750
Zn1 0.328 0.672 0.250
Zn2 0.381 0.619 0.750
Zn3 0.477 0.523 0.750
Zn4 0.523 0.477 0.250
Zn5 0.619 0.381 0.250
Zn6 0.672 0.328 0.750

SG: No. 63
DFT total energy (eV/atom): -2.9380


No. 24
# DyErZn2

A relaxed DyErZn2 crystal (PBE-GGA, Alexandria via LeMat-Bulk).

abc: 7.110 7.110 7.110
angles: 90.00 90.00 90.00
Positions (direct):
Dy1 0.000 0.000 0.000
Dy2 0.000 0.500 0.500
Dy3 0.500 0.000 0.500
Dy4 0.500 0.500 0.000
Er1 0.000 0.000 0.500
Er2 0.000 0.500 0.000
Er3 0.500 0.000 0.000
Er4 0.500 0.500 0.500
Zn1 0.250 0.250 0.250
Zn2 0.250 0.250 0.750
Zn3 0.250 0.750 0.250
Zn4 0.250 0.750 0.750
Zn5 0.750 0.250 0.250
Zn6 0.750 0.250 0.750
Zn7 0.750 0.750 0.250
Zn8 0.750 0.750 0.750

SG: No. 225
DFT total energy (eV/atom): -3.2735